VASP calculation (GGA-PBE) on a relaxed TbCeBiAs crystal.

a b c (Å): 7.627 7.627 7.627
angles (deg): 32.98 32.98 32.98
Fractional positions:
Tb 0.000 0.000 0.000
Ce 0.516 0.516 0.516
Bi 0.757 0.757 0.757
As 0.259 0.259 0.259

Computed properties:
DOS(E_F) ... 6.1 states/eV/cell
Crystal system ... trigonal
Formation energy ... -1.139 eV per atom
VASP energy ... -23.7 eV for the cell shown
Spin magnetization ... 0.76 μB/cell

***

VASP calculation (GGA-PBE) on a relaxed KTaSe2 crystal.

a b c (Å): 3.302 3.309 7.845
angles (deg): 90.00 90.10 90.00
Fractional positions:
K 0.000 0.000 0.000
Ta 0.000 0.000 0.500
Se 0.500 0.500 0.306
Se 0.500 0.500 0.694

Computed properties:
Raw formation energy ... -0.71 eV/atom
DOS(E_F) ... 1.3 states/eV/cell
Crystal system ... monoclinic
VASP energy ... -22.8 eV for the cell shown
Spin magnetization ... 0.00 μB/cell

***

VASP calculation (GGA-PBE) on a relaxed TePbF3 crystal.

a b c (Å): 4.821 4.821 4.821
angles (deg): 90.00 90.00 90.00
Fractional positions:
Te 0.000 0.000 0.000
Pb 0.500 0.500 0.500
F 0.000 0.500 0.500
F 0.500 0.000 0.500
F 0.500 0.500 0.000

Computed properties:
Offset from the most stable computed form ... 0.0 kJ per mole of atoms
Raw formation energy ... -1.36 eV/atom
DOS(E_F) ... 1.7 states/eV/cell
Crystal system ... cubic
VASP energy ... -19.3 eV for the cell shown
Spin magnetization ... 2.93 μB/cell

***

VASP calculation (GGA-PBE) on a relaxed LaPr4Y crystal.

a b c (Å): 6.456 6.456 7.202
angles (deg): 117.44 117.44 56.76
Fractional positions:
La 0.000 0.000 0.000
Pr 0.327 0.327 0.987
Pr 0.340 0.340 0.497
Pr 0.660 0.660 0.503
Pr 0.673 0.673 0.013
Y 0.000 0.000 0.500

Computed properties:
Offset from the most stable computed form ... 0.0 kJ per mole of atoms
DOS(E_F) ... 11.8 states/eV/cell
Crystal system ... monoclinic
Formation energy ... 0.097 eV per atom
VASP energy ... -29.9 eV for the cell shown
Spin magnetization ... 0.00 μB/cell

***

VASP calculation (GGA-PBE) on a relaxed KMn crystal.

a b c (Å): 6.429 6.429 6.429
angles (deg): 29.96 29.96 29.96
Fractional positions:
K 0.000 0.000 0.000
Mn 0.500 0.500 0.500

Computed properties:
Offset from the most stable computed form ... 39.2 kJ per mole of atoms
DOS(E_F) ... 1.7 states/eV/cell
Crystal system ... trigonal
Formation energy ... 1.151 eV per atom
VASP energy ... -8.0 eV for the cell shown
Spin magnetization ... 4.18 μB/cell

***

VASP calculation (GGA-PBE) on a relaxed Tl2Cu3AgBr8 crystal.

a b c (Å): 7.957 7.957 9.330
angles (deg): 115.20 115.20 60.17
Fractional positions:
Tl 0.000 0.000 0.000
Tl 0.630 0.630 0.894
Cu 0.106 0.646 0.401
Cu 0.646 0.106 0.401
Cu 0.646 0.646 0.402
Ag 0.221 0.221 0.665
Br 0.326 0.326 0.982
Br 0.362 0.362 0.533
Br 0.362 0.806 0.534
Br 0.442 0.887 0.220
Br 0.806 0.362 0.534
Br 0.865 0.865 0.598
Br 0.887 0.442 0.220
Br 0.888 0.888 0.220

Computed properties:
Raw formation energy ... -0.38 eV/atom
DOS(E_F) ... 7.5 states/eV/cell
Crystal system ... monoclinic
VASP energy ... -38.6 eV for the cell shown
Spin magnetization ... 2.13 μB/cell

***

VASP calculation (GGA-PBE) on a relaxed PrLuTh2 crystal.

a b c (Å): 3.560 3.560 10.249
angles (deg): 90.00 90.00 90.00
Fractional positions:
Pr 0.000 0.000 0.000
Lu 0.000 0.000 0.500
Th 0.500 0.500 0.259
Th 0.500 0.500 0.741

Computed properties:
Offset from the most stable computed form ... 0.7 kJ per mole of atoms
DOS(E_F) ... 6.9 states/eV/cell
Crystal system ... tetragonal
Formation energy ... 0.076 eV per atom
VASP energy ... -23.8 eV for the cell shown
Spin magnetization ... 0.00 μB/cell

***

VASP calculation (GGA-PBE) on a relaxed InRuCl2 crystal.

a b c (Å): 5.315 5.315 6.803
angles (deg): 112.37 112.37 36.31
Fractional positions:
In 0.000 0.000 0.000
Ru 0.729 0.729 0.000
Cl 0.165 0.165 0.717
Cl 0.318 0.318 0.282

Computed properties:
Offset from the most stable computed form ... 0.0 kJ per mole of atoms
Raw formation energy ... -0.24 eV/atom
DOS(E_F) ... 2.0 states/eV/cell
Crystal system ... monoclinic
VASP energy ... -16.7 eV for the cell shown
Spin magnetization ... 0.39 μB/cell